An optimized crystal structure of Pr2Pa2Se7. Source: the Alexandria database, functional PBE-GGA.

Summary:
**Excess energy over the best structure of this formula in the dataset**: 1.7 kJ per mole of atoms
**ΔE_f (raw)**: -1.58 eV/atom

Unit cell a=9.0564 b=9.0564 c=9.0564 alpha=153.95 beta=67.37 gamma=119.10
With the nearest neighbours (Å) after each atom.
Atoms (fractional coordinates):
Pr: 0.0000 0.0000 0.0000  8 Se 2.95-3.13
Pr: 0.5460 0.0460 0.5000  7 Se 2.88-3.09
Pa: 0.0729 0.8125 0.2604  7 Se 2.86-3.00
Pa: 0.5521 0.8125 0.7396  7 Se 2.86-3.00
Se: 0.2319 0.7319 0.5000  3 Pr 2.88-2.95
Se: 0.2980 0.1126 0.1855  3 Pa 2.86-2.98, 1 Pr 2.98
Se: 0.3499 0.4964 0.8536  2 Pa 3.00, 2 Pr 3.04
Se: 0.6428 0.4964 0.1464  2 Pa 3.00, 2 Pr 3.04
Se: 0.7088 0.3245 0.3843  2 Pa 2.99, 3 Pr 3.09-3.13
Se: 0.9271 0.1126 0.8145  3 Pa 2.86-2.98, 1 Pr 2.98
Se: 0.9402 0.3245 0.6157  2 Pa 2.99, 3 Pr 3.09-3.13

***

An optimized crystal structure of Tb3YTh2. Source: the Alexandria database, functional PBE-GGA.

Summary:
**Excess energy over the best structure of this formula in the dataset**: 0.0 kJ per mole of atoms
**Formation enthalpy at 0 K**: 0.03 eV/atom

Unit cell a=10.0642 b=3.5814 c=10.6943 alpha=90.00 beta=90.07 gamma=90.00
With the nearest neighbours (Å) after each atom.
Atoms (fractional coordinates):
Tb: 0.1242 0.2500 0.2502  7 Tb 3.52-3.62, 5 Th 3.54-3.60
Tb: 0.1318 0.2500 0.9182  3 Th 3.52-3.60, 2 Y 3.53, 7 Tb 3.55-3.65
Tb: 0.3672 0.7500 0.4176  6 Tb 3.52-3.67, 3 Th 3.53-3.59, 3 Y 3.56-3.62
Tb: 0.6328 0.2500 0.5824  6 Tb 3.52-3.67, 3 Th 3.53-3.59, 3 Y 3.56-3.62
Tb: 0.8682 0.7500 0.0818  3 Th 3.52-3.60, 2 Y 3.53, 7 Tb 3.55-3.65
Tb: 0.8758 0.7500 0.7498  7 Tb 3.52-3.62, 5 Th 3.54-3.60
Y: 0.3758 0.7500 0.7501  5 Tb 3.53-3.62, 5 Th 3.54-3.61, 2 Y 3.58
Y: 0.6242 0.2500 0.2499  5 Tb 3.53-3.62, 5 Th 3.54-3.61, 2 Y 3.58
Th: 0.1210 0.2500 0.5816  4 Th 3.49-3.58, 6 Tb 3.53-3.60, 2 Y 3.61
Th: 0.3782 0.7500 0.0820  4 Th 3.51-3.58, 5 Tb 3.52-3.60, 3 Y 3.54-3.55
Th: 0.6218 0.2500 0.9180  4 Th 3.51-3.58, 5 Tb 3.52-3.60, 3 Y 3.54-3.55
Th: 0.8790 0.7500 0.4184  4 Th 3.49-3.58, 6 Tb 3.53-3.60, 2 Y 3.61

***

An optimized crystal structure of Ba2ZnSn. Source: the Alexandria database, functional PBE-GGA.

Summary:
**Formation enthalpy at 0 K**: 0.08 eV/atom

Unit cell a=11.1947 b=11.1947 c=11.1947 alpha=148.61 beta=148.61 gamma=44.98
With the nearest neighbours (Å) after each atom.
Atoms (fractional coordinates):
Ba: 0.1160 0.6250 0.9910  2 Zn 3.33, 2 Sn 3.38
Ba: 0.3750 0.3660 0.4910  2 Zn 3.33, 2 Sn 3.38
Ba: 0.6340 0.1250 0.0090  2 Zn 3.33, 2 Sn 3.38
Ba: 0.8750 0.8840 0.5090  2 Zn 3.33, 2 Sn 3.38
Zn: 0.0000 0.0000 0.0000  4 Ba 3.33
Zn: 0.7500 0.2500 0.5000  4 Ba 3.33
Sn: 0.2500 0.7500 0.5000  4 Ba 3.38
Sn: 0.5000 0.5000 0.0000  4 Ba 3.38

***

An optimized crystal structure of Hg2BC. Source: the Alexandria database, functional PBE-GGA.

Summary:
**Excess energy over the best structure of this formula in the dataset**: 0.0 kJ per mole of atoms
**Formation enthalpy at 0 K**: 1.85 eV/atom

Unit cell a=5.8752 b=5.8752 c=5.8752 alpha=121.82 beta=121.82 gamma=86.87
With the nearest neighbours (Å) after each atom.
Atoms (fractional coordinates):
Hg: 0.1197 0.6250 0.9947  2 C 2.27, 2 B 2.30
Hg: 0.3750 0.3697 0.4947  2 C 2.27, 2 B 2.30
Hg: 0.6303 0.1250 0.0053  2 C 2.27, 2 B 2.30
Hg: 0.8750 0.8803 0.5053  2 C 2.27, 2 B 2.30
B: 0.2500 0.7500 0.5000  4 Hg 2.30
B: 0.5000 0.5000 0.0000  4 Hg 2.30
C: 0.0000 0.0000 0.0000  4 Hg 2.27
C: 0.7500 0.2500 0.5000  4 Hg 2.27

***

An optimized crystal structure of MnTl2Fe. Source: the Alexandria database, functional PBE-GGA.

Summary:
**Excess energy over the best structure of this formula in the dataset**: 3.4 kJ per mole of atoms
**Formation enthalpy at 0 K**: 0.51 eV/atom

Unit cell a=6.1105 b=6.1105 c=4.6417 alpha=111.91 beta=111.91 gamma=29.52
With the nearest neighbours (Å) after each atom.
Atoms (fractional coordinates):
Mn: 0.0000 0.0000 0.0000  2 Fe 2.51
Tl: 0.5866 0.5866 0.5861  4 Mn 2.95, 2 Fe 2.98, 2 Tl 3.11
Tl: 0.8058 0.8058 0.3041  4 Fe 2.80, 2 Tl 3.11, 1 Mn 3.12
Fe: 0.3197 0.3197 0.8177  2 Mn 2.51, 4 Tl 2.80

***

An optimized crystal structure of TaRe2Pt. Source: the Alexandria database, functional PBE-GGA.

Summary:
**Excess energy over the best structure of this formula in the dataset**: 25.5 kJ per mole of atoms
**Formation enthalpy at 0 K**: -0.01 eV/atom

Unit cell a=2.6759 b=4.1502 c=5.7584 alpha=90.00 beta=90.00 gamma=90.00
With the nearest neighbours (Å) after each atom.
Atoms (fractional coordinates):
Ta: 0.0000 0.0000 0.0000  2 Ta 2.68, 2 Pt 2.88, 8 Re 2.92
Re: 0.5000 0.5000 0.2695  3 Re 2.65-2.68, 4 Pt 2.80, 4 Ta 2.92
Re: 0.5000 0.5000 0.7305  3 Re 2.65-2.68, 4 Pt 2.80, 4 Ta 2.92
Pt: 0.0000 0.0000 0.5000  2 Pt 2.68, 8 Re 2.80, 2 Ta 2.88

***

An optimized crystal structure of SmThCSe. Source: the Alexandria database, functional PBE-GGA.

Summary:
**ΔE_f (raw)**: -1.05 eV/atom

Unit cell a=7.3362 b=7.3362 c=7.3362 alpha=30.55 beta=30.55 gamma=30.55
With the nearest neighbours (Å) after each atom.
Atoms (fractional coordinates):
Sm: 0.0000 0.0000 0.0000  3 C 2.71
Th: 0.8001 0.8001 0.8001  3 C 2.57
C: 0.4064 0.4064 0.4064  3 Th 2.57, 3 Sm 2.71
Se: 0.2350 0.2350 0.2350  3 Sm 3.04, 3 Th 3.08

***

An optimized crystal structure of NiBH2. Source: the Alexandria database, functional PBE-GGA.

Summary:
**Excess energy over the best structure of this formula in the dataset**: 0.0 kJ per mole of atoms

Unit cell a=5.8907 b=5.8907 c=5.8907 alpha=150.66 beta=150.66 gamma=41.98
With the nearest neighbours (Å) after each atom.
Atoms (fractional coordinates):
Ni: 0.0000 0.0000 0.0000  4 H 1.78
Ni: 0.7500 0.2500 0.5000  4 H 1.78
B: 0.2500 0.7500 0.5000  4 H 1.69
B: 0.5000 0.5000 0.0000  4 H 1.69
H: 0.1587 0.6250 0.0337  2 B 1.69, 2 Ni 1.78
H: 0.3750 0.4087 0.5337  2 B 1.69, 2 Ni 1.78
H: 0.5913 0.1250 0.9663  2 B 1.69, 2 Ni 1.78
H: 0.8750 0.8413 0.4663  2 B 1.69, 2 Ni 1.78

***

An optimized crystal structure of CePr2ReN5. Source: the Alexandria database, functional PBE-GGA.

Summary:
**ΔE_f (raw)**: -0.97 eV/atom

Unit cell a=7.5579 b=7.5579 c=7.5579 alpha=126.07 beta=126.07 gamma=79.78
With the nearest neighbours (Å) after each atom.
Atoms (fractional coordinates):
Ce: 0.2500 0.2500 0.0000  10 N 2.86-2.90
Ce: 0.7500 0.7500 0.0000  10 N 2.86-2.90
Pr: 0.1730 0.6730 0.8460  4 N 2.45-2.54
Pr: 0.3270 0.1730 0.5000  4 N 2.45-2.54
Pr: 0.6730 0.8270 0.5000  4 N 2.45-2.54
Pr: 0.8270 0.3270 0.1540  4 N 2.45-2.54
Re: 0.2500 0.7500 0.5000  4 N 1.85
Re: 0.7500 0.2500 0.5000  4 N 1.85
N: 0.0000 0.0000 0.0000  4 Pr 2.54
N: 0.0014 0.7992 0.5000  1 Re 1.85
N: 0.2008 0.7008 0.2022  1 Re 1.85
N: 0.2992 0.5014 0.5000  1 Re 1.85
N: 0.4986 0.9986 0.7978  1 Re 1.85
N: 0.5000 0.5000 0.0000  4 Pr 2.54
N: 0.5014 0.0014 0.2022  1 Re 1.85
N: 0.7008 0.4986 0.5000  1 Re 1.85
N: 0.7992 0.2992 0.7978  1 Re 1.85
N: 0.9986 0.2008 0.5000  1 Re 1.85

***

An optimized crystal structure of Sr2AgSe. Source: the Alexandria database, functional PBE-GGA.

Summary:
**ΔE_f (raw)**: -0.30 eV/atom

Unit cell a=5.5144 b=5.5144 c=5.5144 alpha=60.00 beta=60.00 gamma=60.00
With the nearest neighbours (Å) after each atom.
Atoms (fractional coordinates):
Sr: 0.0000 0.0000 0.0000  4 Se 3.38, 4 Sr 3.38
Sr: 0.2500 0.2500 0.2500  4 Sr 3.38, 4 Ag 3.38
Ag: 0.5000 0.5000 0.5000  4 Se 3.38, 4 Sr 3.38
Se: 0.7500 0.7500 0.7500  4 Sr 3.38, 4 Ag 3.38

***

An optimized crystal structure of Tb6DyHo2Tm3. Source: the Alexandria database, functional PBE-GGA.

Summary:
**Formation enthalpy at 0 K**: 0.02 eV/atom

Unit cell a=6.1098 b=6.1098 c=11.6689 alpha=94.99 beta=94.99 gamma=119.95
With the nearest neighbours (Å) after each atom.
Atoms (fractional coordinates):
Tb: 0.0842 0.4176 0.7513  3 Tm 3.51, 6 Tb 3.53, 2 Ho 3.53-3.54, 1 Dy 3.54
Tb: 0.2492 0.2492 0.2487  3 Tm 3.51, 6 Tb 3.53, 1 Dy 3.53, 2 Ho 3.53
Tb: 0.4176 0.0842 0.7513  3 Tm 3.51, 6 Tb 3.53, 2 Ho 3.53-3.54, 1 Dy 3.54
Tb: 0.5824 0.9158 0.2487  3 Tm 3.51, 6 Tb 3.53, 2 Ho 3.53-3.54, 1 Dy 3.54
Tb: 0.7508 0.7508 0.7513  3 Tm 3.51, 6 Tb 3.53, 1 Dy 3.53, 2 Ho 3.53
Tb: 0.9158 0.5824 0.2487  3 Tm 3.51, 6 Tb 3.53, 2 Ho 3.53-3.54, 1 Dy 3.54
Dy: 0.0000 0.0000 0.5000  6 Ho 3.53, 6 Tb 3.53-3.54
Ho: 0.3334 0.6666 0.5000  3 Ho 3.52-3.53, 3 Dy 3.53, 6 Tb 3.53-3.54
Ho: 0.6666 0.3334 0.5000  3 Ho 3.52-3.53, 3 Dy 3.53, 6 Tb 3.53-3.54
Tm: 0.1668 0.8332 0.0000  6 Tb 3.51, 6 Tm 3.53
Tm: 0.5000 0.5000 0.0000  6 Tb 3.51, 6 Tm 3.53
Tm: 0.8332 0.1668 0.0000  6 Tb 3.51, 6 Tm 3.53

***

An optimized crystal structure of Re4NiRh. Source: the Alexandria database, functional PBE-GGA.

Summary:
**Formation enthalpy at 0 K**: 0.52 eV/atom

Unit cell a=5.1098 b=5.1098 c=5.1098 alpha=60.00 beta=60.00 gamma=60.00
With the nearest neighbours (Å) after each atom.
Atoms (fractional coordinates):
Re: 0.3756 0.3756 0.3756  6 Re 2.54-2.57
Re: 0.3756 0.3756 0.8733  6 Re 2.54-2.57
Re: 0.3756 0.8733 0.3756  6 Re 2.54-2.57
Re: 0.8733 0.3756 0.3756  6 Re 2.54-2.57
Ni: 0.7500 0.7500 0.7500  12 Re 2.99, 4 Rh 3.13
Rh: 0.0000 0.0000 0.0000  12 Re 3.00, 4 Ni 3.13

***

An optimized crystal structure of Sr2GdCu2RuO8. Source: the Alexandria database, functional PBE-GGA.

Summary:
**Excess energy over the best structure of this formula in the dataset**: 2.7 kJ per mole of atoms
**ΔE_f (raw)**: -1.84 eV/atom

Unit cell a=11.5912 b=3.9000 c=3.9000 alpha=90.01 beta=90.00 gamma=90.00
With the nearest neighbours (Å) after each atom.
Atoms (fractional coordinates):
Sr: 0.1880 0.0000 0.0000  12 O 2.76-2.93
Sr: 0.8120 0.0000 0.0000  12 O 2.76-2.93
Gd: 0.5000 0.0008 0.0008  8 O 2.45
Cu: 0.3575 0.5010 0.5010  5 O 1.96-2.19
Cu: 0.6425 0.5010 0.5010  5 O 1.96-2.19
Ru: 0.0000 0.4993 0.4993  6 O 1.95-1.96
O: 0.0000 0.4981 0.9989  2 Ru 1.95
O: 0.0000 0.9989 0.4981  2 Ru 1.95
O: 0.1689 0.4986 0.4986  1 Ru 1.96, 1 Cu 2.19
O: 0.3722 0.0009 0.5009  2 Cu 1.96
O: 0.3722 0.5009 0.0009  2 Cu 1.96
O: 0.6278 0.0009 0.5009  2 Cu 1.96
O: 0.6278 0.5009 0.0009  2 Cu 1.96
O: 0.8311 0.4986 0.4986  1 Ru 1.96, 1 Cu 2.19

***

An optimized crystal structure of TiAl3Cr. Source: the Alexandria database, functional PBE-GGA.

Summary:
**Excess energy over the best structure of this formula in the dataset**: 0.0 kJ per mole of atoms
**Formation enthalpy at 0 K**: 0.51 eV/atom

Unit cell a=4.5024 b=4.5024 c=4.5024 alpha=90.00 beta=90.00 gamma=90.00
With the nearest neighbours (Å) after each atom.
Atoms (fractional coordinates):
Ti: 0.0000 0.0000 0.0000  12 Al 3.18
Al: 0.0000 0.5000 0.5000  2 Cr 2.25
Al: 0.5000 0.0000 0.5000  2 Cr 2.25
Al: 0.5000 0.5000 0.0000  2 Cr 2.25
Cr: 0.5000 0.5000 0.5000  6 Al 2.25

***

no.,size of the total moment (Bohr magnetons per cell),density of states at the Fermi level (states/eV/f.u.)
1,1.506,5.95
2,0.000,7.64
3,0.000,2.44
4,0.000,2.45
5,5.877,1.92
6,0.000,3.41
7,0.003,3.01
8,0.000,0.62
9,2.123,5.79
10,0.000,1.37
11,0.000,15.67
12,0.000,3.21
13,4.352,4.52
14,0.000,4.50